Compound: CeBRu
Source: Alexandria via LeMat-Bulk
Functional: PBE
Structure: optimized geometry

a b c (Å): 2.954 2.954 10.257
angles (deg): 90.00 90.00 90.00
Space group I4mm (No. 107)
Symmetry-distinct sites (fractional):
Ce  0.000  0.000  0.000 x2
B  0.000  0.000  0.298 x2
Ru  0.000  0.000  0.724 x2

Values from the calculation:
E above lowest polymorph, kJ/mol of formula units: 28
Formation energy from the elements, eV/f.u.: -0.73
Calculated volume, Å³ per cell: 89
Raw total energy, eV/atom: -7.538
Fermi-level density of states, states/eV/cell: 6.83
ρ, g/cm³: 9.353
Magnetic moment, μB/atom: 0.000



Compound: CeB2Ru
Source: Alexandria via LeMat-Bulk
Functional: PBE
Structure: optimized geometry

a b c (Å): 3.6983 3.6983 14.1368
angles (deg): 90.00 90.00 120.00
Space group R-3m (No. 166, hexagonal axes)
Symmetry-distinct sites (fractional):
Ce  0.0000  0.0000  0.0000 x3
B  0.0000  0.0000  0.2014 x6
Ru  0.0000  0.0000  0.5000 x3

Values from the calculation:
E above lowest polymorph, kJ/mol of formula units: 148
Formation energy from the elements, eV/f.u.: -0.81
Calculated volume, Å³ per cell: 167
Raw total energy, eV/atom: -7.343
Fermi-level density of states, states/eV/cell: 13.66
ρ, g/cm³: 7.818
Magnetic moment, μB/atom: 0.000



Compound: CeB3Ru6
Source: Alexandria via LeMat-Bulk
Functional: PBE
Structure: optimized geometry

a b c (Å): 5.4886 5.4886 15.2587
angles (deg): 90.00 90.00 120.00
Space group R3 (No. 146, hexagonal axes)
Symmetry-distinct sites (fractional):
Ce  0.0000  0.0000  0.0000 x3
B  0.0000  0.0000  0.2876 x3
B  0.0000  0.0000  0.6226 x3
B  0.0000  0.0000  0.8245 x3
Ru  0.9999  0.4284  0.8655 x9
Ru  0.0021  0.5185  0.0543 x9

Values from the calculation:
Formation energy from the elements, eV/f.u.: -1.42
Calculated volume, Å³ per cell: 398
Raw total energy, eV/atom: -8.304
Fermi-level density of states, states/eV/cell: 34.78
ρ, g/cm³: 9.744
Magnetic moment, μB/atom: 0.000